P) # TlCdTe2I | Alexandria via LeMat-Bulk | GGA-PBE | relaxed
# **V**: 196 Å³ per cell
# **M_tot**: 0.00 μB/f.u.
data_TlCdTe2I
_chemical_formula_sum 'Tl1 Cd1 Te2 I1'
_cell_length_a 5.625
_cell_length_b 5.625
_cell_length_c 6.188
_cell_angle_alpha 90.00
_cell_angle_beta 90.00
_cell_angle_gamma 90.00
_symmetry_space_group_name_H-M 'P 4/m m m'
_symmetry_Int_Tables_number 123
_symmetry_space_group_name_Hall '-P 4 2'
loop_
_atom_site_label
_atom_site_fract_x
_atom_site_fract_y
_atom_site_fract_z
Tl1 0.000 0.000 0.000
Cd1 0.500 0.500 0.500
Te1 0.000 0.500 0.500
I1 0.500 0.500 0.000



Q) # TlCdTe2I | Alexandria via LeMat-Bulk | GGA-PBE | relaxed
# **V**: 206 Å³ per cell
# **M_tot**: 0.00 μB/f.u.
data_TlCdTe2I
_chemical_formula_sum 'Tl1 Cd1 Te2 I1'
_cell_length_a 5.850
_cell_length_b 5.850
_cell_length_c 6.013
_cell_angle_alpha 90.00
_cell_angle_beta 90.00
_cell_angle_gamma 90.00
_symmetry_space_group_name_H-M 'P 4/m m m'
_symmetry_Int_Tables_number 123
_symmetry_space_group_name_Hall '-P 4 2'
loop_
_atom_site_label
_atom_site_fract_x
_atom_site_fract_y
_atom_site_fract_z
Tl1 0.000 0.000 0.000
Cd1 0.500 0.500 0.500
Te1 0.000 0.500 0.000
I1 0.000 0.000 0.500



Stability, lowest: Q)



P) # VCdTe2I | Alexandria via LeMat-Bulk | GGA-PBE | relaxed
# **V**: 182 Å³ per cell
# **M_tot**: 2.78 μB/f.u.
data_VCdTe2I
_chemical_formula_sum 'V1 Cd1 Te2 I1'
_cell_length_a 5.574
_cell_length_b 5.574
_cell_length_c 5.851
_cell_angle_alpha 90.00
_cell_angle_beta 90.00
_cell_angle_gamma 90.00
_symmetry_space_group_name_H-M 'P 4/m m m'
_symmetry_Int_Tables_number 123
_symmetry_space_group_name_Hall '-P 4 2'
loop_
_atom_site_label
_atom_site_fract_x
_atom_site_fract_y
_atom_site_fract_z
V1 0.000 0.000 0.000
Cd1 0.500 0.500 0.500
Te1 0.000 0.500 0.500
I1 0.500 0.500 0.000



Q) # VCdTe2I | Alexandria via LeMat-Bulk | GGA-PBE | relaxed
# **V**: 158 Å³ per cell
# **M_tot**: 1.08 μB/f.u.
data_VCdTe2I
_chemical_formula_sum 'V1 Cd1 Te2 I1'
_cell_length_a 5.187
_cell_length_b 5.187
_cell_length_c 5.885
_cell_angle_alpha 90.00
_cell_angle_beta 90.00
_cell_angle_gamma 90.00
_symmetry_space_group_name_H-M 'P 4/m m m'
_symmetry_Int_Tables_number 123
_symmetry_space_group_name_Hall '-P 4 2'
loop_
_atom_site_label
_atom_site_fract_x
_atom_site_fract_y
_atom_site_fract_z
V1 0.000 0.000 0.000
Cd1 0.500 0.500 0.500
Te1 0.000 0.500 0.000
I1 0.000 0.000 0.500



R) # VCdTe2I | Alexandria via LeMat-Bulk | GGA-PBE | relaxed
# **V**: 195 Å³ per cell
# **M_tot**: 3.50 μB/f.u.
data_VCdTe2I
_chemical_formula_sum 'V1 Cd1 Te2 I1'
_cell_length_a 5.934
_cell_length_b 5.934
_cell_length_c 5.540
_cell_angle_alpha 90.00
_cell_angle_beta 90.00
_cell_angle_gamma 90.00
_symmetry_space_group_name_H-M 'P 4/m m m'
_symmetry_Int_Tables_number 123
_symmetry_space_group_name_Hall '-P 4 2'
loop_
_atom_site_label
_atom_site_fract_x
_atom_site_fract_y
_atom_site_fract_z
V1 0.000 0.000 0.000
Cd1 0.500 0.500 0.000
Te1 0.000 0.500 0.500
I1 0.500 0.500 0.500



Stability, lowest: R)



P) # ZnCdTe2I | Alexandria via LeMat-Bulk | GGA-PBE | relaxed
# **V**: 162 Å³ per cell
# **M_tot**: 0.00 μB/f.u.
data_ZnCdTe2I
_chemical_formula_sum 'Zn1 Cd1 Te2 I1'
_cell_length_a 5.370
_cell_length_b 5.370
_cell_length_c 5.615
_cell_angle_alpha 90.00
_cell_angle_beta 90.00
_cell_angle_gamma 90.00
_symmetry_space_group_name_H-M 'P 4/m m m'
_symmetry_Int_Tables_number 123
_symmetry_space_group_name_Hall '-P 4 2'
loop_
_atom_site_label
_atom_site_fract_x
_atom_site_fract_y
_atom_site_fract_z
Zn1 0.000 0.000 0.000
Cd1 0.500 0.500 0.500
Te1 0.000 0.500 0.000
I1 0.000 0.000 0.500



Q) # ZnCdTe2I | Alexandria via LeMat-Bulk | GGA-PBE | relaxed
# **V**: 189 Å³ per cell
# **M_tot**: 0.00 μB/f.u.
data_ZnCdTe2I
_chemical_formula_sum 'Zn1 Cd1 Te2 I1'
_cell_length_a 5.677
_cell_length_b 5.677
_cell_length_c 5.877
_cell_angle_alpha 90.00
_cell_angle_beta 90.00
_cell_angle_gamma 90.00
_symmetry_space_group_name_H-M 'P 4/m m m'
_symmetry_Int_Tables_number 123
_symmetry_space_group_name_Hall '-P 4 2'
loop_
_atom_site_label
_atom_site_fract_x
_atom_site_fract_y
_atom_site_fract_z
Zn1 0.000 0.000 0.000
Cd1 0.500 0.500 0.500
Te1 0.000 0.500 0.500
I1 0.500 0.500 0.000



Stability, lowest: Q)



P) # ThCdI6 | Alexandria via LeMat-Bulk | GGA-PBE | relaxed
# **V**: 1056 Å³ per cell
# **M_tot**: 0.00 μB/f.u.
data_ThCdI6
_chemical_formula_sum 'Th3 Cd3 I18'
_cell_length_a 7.6430
_cell_length_b 7.6430
_cell_length_c 20.8742
_cell_angle_alpha 90.00
_cell_angle_beta 90.00
_cell_angle_gamma 120.00
_symmetry_space_group_name_H-M 'R -3'
_symmetry_Int_Tables_number 148
_symmetry_space_group_name_Hall '-R 3'
loop_
_atom_site_label
_atom_site_fract_x
_atom_site_fract_y
_atom_site_fract_z
Th1 0.0000 0.0000 0.0000
Cd1 0.0000 0.0000 0.5000
I1 0.0019 0.3414 0.2492



Q) # ThCdI6 | Alexandria via LeMat-Bulk | GGA-PBE | relaxed
# **V**: 827 Å³ per cell
# **M_tot**: 0.00 μB/f.u.
data_ThCdI6
_chemical_formula_sum 'Th2 Cd2 I12'
_cell_length_a 8.035
_cell_length_b 13.849
_cell_length_c 7.430
_cell_angle_alpha 90.00
_cell_angle_beta 91.32
_cell_angle_gamma 90.00
_symmetry_space_group_name_H-M 'C 1 2/m 1'
_symmetry_Int_Tables_number 12
loop_
_symmetry_equiv_pos_as_xyz
'x,y,z'
'-x,-y,-z'
'-x,y,-z'
'x,-y,z'
'x+1/2,y+1/2,z'
'-x+1/2,-y+1/2,-z'
'-x+1/2,y+1/2,-z'
'x+1/2,-y+1/2,z'
loop_
_atom_site_label
_atom_site_fract_x
_atom_site_fract_y
_atom_site_fract_z
Th1 0.000 0.000 0.000
Cd1 0.000 0.000 0.500
I1 0.152 0.153 0.749
I2 0.196 0.500 0.739



Stability, lowest: P)



P) # TiCd3I | Alexandria via LeMat-Bulk | GGA-PBE | relaxed
# **V**: 196 Å³ per cell
# **M_tot**: 3.15 μB/f.u.
data_TiCd3I
_chemical_formula_sum 'Ti1 Cd3 I1'
_cell_length_a 5.804
_cell_length_b 5.804
_cell_length_c 5.804
_cell_angle_alpha 90.00
_cell_angle_beta 90.00
_cell_angle_gamma 90.00
_symmetry_space_group_name_H-M 'P m -3 m'
_symmetry_Int_Tables_number 221
_symmetry_space_group_name_Hall '-P 4 2 3'
loop_
_atom_site_label
_atom_site_fract_x
_atom_site_fract_y
_atom_site_fract_z
Ti1 0.000 0.000 0.000
Cd1 0.000 0.500 0.500
I1 0.500 0.500 0.500



Q) # TiCd3I | Alexandria via LeMat-Bulk | GGA-PBE | relaxed
# **V**: 180 Å³ per cell
# **M_tot**: 2.73 μB/f.u.
data_TiCd3I
_chemical_formula_sum 'Ti1 Cd3 I1'
_cell_length_a 5.641
_cell_length_b 5.641
_cell_length_c 5.641
_cell_angle_alpha 90.00
_cell_angle_beta 90.00
_cell_angle_gamma 90.00
_symmetry_space_group_name_H-M 'P m -3 m'
_symmetry_Int_Tables_number 221
_symmetry_space_group_name_Hall '-P 4 2 3'
loop_
_atom_site_label
_atom_site_fract_x
_atom_site_fract_y
_atom_site_fract_z
Ti1 0.000 0.000 0.000
Cd1 0.000 0.000 0.500
I1 0.500 0.500 0.500



Stability, lowest: P)



P) # TiCd2I | Alexandria via LeMat-Bulk | GGA-PBE | relaxed
# **V**: 433 Å³ per cell
# **M_tot**: 2.70 μB/f.u.
data_TiCd2I
_chemical_formula_sum 'Ti4 Cd8 I4'
_cell_length_a 7.565
_cell_length_b 7.565
_cell_length_c 7.565
_cell_angle_alpha 90.00
_cell_angle_beta 90.00
_cell_angle_gamma 90.00
_symmetry_space_group_name_H-M 'F m -3 m'
_symmetry_Int_Tables_number 225
_symmetry_space_group_name_Hall '-F 4 2 3'
loop_
_atom_site_label
_atom_site_fract_x
_atom_site_fract_y
_atom_site_fract_z
Ti1 0.000 0.000 0.000
Cd1 0.250 0.250 0.250
I1 0.000 0.000 0.500



Q) # TiCd2I | Alexandria via LeMat-Bulk | GGA-PBE | relaxed
# **V**: 442 Å³ per cell
# **M_tot**: 2.27 μB/f.u.
data_TiCd2I
_chemical_formula_sum 'Ti4 Cd8 I4'
_cell_length_a 8.711
_cell_length_b 8.711
_cell_length_c 5.819
_cell_angle_alpha 90.00
_cell_angle_beta 90.00
_cell_angle_gamma 90.00
_symmetry_space_group_name_H-M 'I -4 2 d'
_symmetry_Int_Tables_number 122
_symmetry_space_group_name_Hall 'I -4 2bw'
loop_
_atom_site_label
_atom_site_fract_x
_atom_site_fract_y
_atom_site_fract_z
Ti1 0.000 0.000 0.000
Cd1 0.217 0.750 0.125
I1 0.000 0.000 0.500



Stability, lowest: P)



P) # TiCdI2 | Alexandria via LeMat-Bulk | GGA-PBE | relaxed
# **V**: 445 Å³ per cell
# **M_tot**: 2.00 μB/f.u.
data_TiCdI2
_chemical_formula_sum 'Ti4 Cd4 I8'
_cell_length_a 7.634
_cell_length_b 7.634
_cell_length_c 7.634
_cell_angle_alpha 90.00
_cell_angle_beta 90.00
_cell_angle_gamma 90.00
_symmetry_space_group_name_H-M 'F m -3 m'
_symmetry_Int_Tables_number 225
_symmetry_space_group_name_Hall '-F 4 2 3'
loop_
_atom_site_label
_atom_site_fract_x
_atom_site_fract_y
_atom_site_fract_z
Ti1 0.000 0.000 0.000
Cd1 0.000 0.000 0.500
I1 0.250 0.250 0.250



Q) # TiCdI2 | Alexandria via LeMat-Bulk | GGA-PBE | relaxed
# **V**: 591 Å³ per cell
# **M_tot**: 2.00 μB/f.u.
data_TiCdI2
_chemical_formula_sum 'Ti4 Cd4 I8'
_cell_length_a 9.895
_cell_length_b 9.895
_cell_length_c 6.032
_cell_angle_alpha 90.00
_cell_angle_beta 90.00
_cell_angle_gamma 90.00
_symmetry_space_group_name_H-M 'I -4 2 d'
_symmetry_Int_Tables_number 122
_symmetry_space_group_name_Hall 'I -4 2bw'
loop_
_atom_site_label
_atom_site_fract_x
_atom_site_fract_y
_atom_site_fract_z
Ti1 0.000 0.000 0.000
Cd1 0.000 0.000 0.500
I1 0.109 0.750 0.125



Stability, lowest: P)



P) # Ti2CdI | Alexandria via LeMat-Bulk | GGA-PBE | relaxed
# **V**: 323 Å³ per cell
# **M_tot**: 1.26 μB/f.u.
data_Ti2CdI
_chemical_formula_sum 'Ti8 Cd4 I4'
_cell_length_a 6.860
_cell_length_b 6.860
_cell_length_c 6.860
_cell_angle_alpha 90.00
_cell_angle_beta 90.00
_cell_angle_gamma 90.00
_symmetry_space_group_name_H-M 'F m -3 m'
_symmetry_Int_Tables_number 225
_symmetry_space_group_name_Hall '-F 4 2 3'
loop_
_atom_site_label
_atom_site_fract_x
_atom_site_fract_y
_atom_site_fract_z
Ti1 0.250 0.250 0.250
Cd1 0.000 0.000 0.000
I1 0.000 0.000 0.500



Q) # Ti2CdI | Alexandria via LeMat-Bulk | GGA-PBE | relaxed
# **V**: 376 Å³ per cell
# **M_tot**: 2.15 μB/f.u.
data_Ti2CdI
_chemical_formula_sum 'Ti8 Cd4 I4'
_cell_length_a 4.316
_cell_length_b 4.316
_cell_length_c 20.164
_cell_angle_alpha 90.00
_cell_angle_beta 90.00
_cell_angle_gamma 90.00
_symmetry_space_group_name_H-M 'I -4 2 d'
_symmetry_Int_Tables_number 122
_symmetry_space_group_name_Hall 'I -4 2bw'
loop_
_atom_site_label
_atom_site_fract_x
_atom_site_fract_y
_atom_site_fract_z
Ti1 0.242 0.250 0.125
Cd1 0.000 0.000 0.000
I1 0.000 0.000 0.500



Stability, lowest: Q)